one:
Crystalline Na2Ag3Sn at its relaxed geometry. Source: Alexandria via LeMat-Bulk, functional PBE.

The space group is P6_3/mmc (No. 194) and the conventional cell measures 5.8398, 5.8398 and 9.1842 Å, with angles of 90.00, 90.00 and 120.00 degrees. Symmetry generates all atoms from Na at (0.3333, 0.6667, 0.0600), Ag at (0.1719, 0.3438, 0.7500) and Sn at (0.0000, 0.0000, 0.0000).

---

two:
Crystalline Na2Ag3Sn at its relaxed geometry. Source: Alexandria via LeMat-Bulk, functional PBE.

The space group is C2/m (No. 12) and the conventional cell measures 9.852, 5.786 and 5.753 Å, with angles of 90.00, 123.80 and 90.00 degrees. Symmetry generates all atoms from Na at (0.127, 0.000, 0.375), Ag at (0.000, 0.500, 0.500), Ag at (0.250, 0.250, 0.000) and Sn at (0.000, 0.500, 0.000).

---

Energy ordering: two at the bottom, the next structure 0.011 eV/atom above.

---

one:
Crystalline Na8AgSn2 at its relaxed geometry. Source: Alexandria via LeMat-Bulk, functional PBE.

The space group is C2/m (No. 12) and the conventional cell measures 11.341, 12.046 and 5.868 Å, with angles of 90.00, 97.51 and 90.00 degrees. Symmetry generates all atoms from Na at (0.094, 0.000, 0.277), Na at (0.098, 0.257, 0.780), Na at (0.250, 0.000, 0.822), Ag at (0.000, 0.500, 0.000) and Sn at (0.123, 0.500, 0.622).

---

two:
Crystalline Na8AgSn2 at its relaxed geometry. Source: Alexandria via LeMat-Bulk, functional PBE.

The space group is C2/m (No. 12) and the conventional cell measures 9.003, 14.277 and 5.824 Å, with angles of 90.00, 111.47 and 90.00 degrees. Symmetry generates all atoms from Na at (0.000, 0.222, 0.000), Na at (0.129, 0.500, 0.798), Na at (0.201, 0.124, 0.616), Ag at (0.000, 0.000, 0.000) and Sn at (0.000, 0.312, 0.500).

---

Energy ordering: two at the bottom, the next structure 0.046 eV/atom above.

---

one:
Crystalline Na2AgSn3 at its relaxed geometry. Source: Alexandria via LeMat-Bulk, functional PBE.

The space group is P-3m1 (No. 164) and the conventional cell measures 6.7897, 6.7897 and 8.5185 Å, with angles of 90.00, 90.00 and 120.00 degrees. Symmetry generates all atoms from Na at (0.0000, 0.0000, 0.0000), Na at (0.0000, 0.0000, 0.5000), Na at (0.3333, 0.6667, 0.0918), Ag at (0.3333, 0.6667, 0.4487) and Sn at (0.1874, 0.3747, 0.7373).

---

two:
Crystalline Na2AgSn3 at its relaxed geometry. Source: Alexandria via LeMat-Bulk, functional PBE.

The space group is P6_3/mmc (No. 194) and the conventional cell measures 6.3401, 6.3401 and 9.0955 Å, with angles of 90.00, 90.00 and 120.00 degrees. Symmetry generates all atoms from Na at (0.3333, 0.6667, 0.0671), Ag at (0.0000, 0.0000, 0.0000) and Sn at (0.1694, 0.3387, 0.7500).

---

Energy ordering: two at the bottom, the next structure 0.218 eV/atom above.

---

one:
Crystalline NaAg4Sn at its relaxed geometry. Source: Alexandria via LeMat-Bulk, functional PBE.

The space group is Cmcm (No. 63) and the conventional cell measures 4.674, 18.983 and 5.908 Å, with angles of 90.00, 90.00 and 90.00 degrees. Symmetry generates all atoms from Na at (0.000, 0.086, 0.250), Ag at (0.000, 0.065, 0.750), Ag at (0.000, 0.212, 0.510), Ag at (0.000, 0.500, 0.000) and Sn at (0.000, 0.348, 0.250).

---

two:
Crystalline NaAg4Sn at its relaxed geometry. Source: Alexandria via LeMat-Bulk, functional PBE.

The space group is F-43m (No. 216) and the conventional cell measures 7.955, 7.955 and 7.955 Å, with angles of 90.00, 90.00 and 90.00 degrees. Symmetry generates all atoms from Na at (0.000, 0.000, 0.000), Ag at (0.125, 0.125, 0.625) and Sn at (0.250, 0.250, 0.250).

---

Energy ordering: two at the bottom, the next structure 0.087 eV/atom above.